The following is a DFT calculation (GGA+U) of crystalline RbPaFe2O8 at its relaxed geometry.

abc: 5.874 5.874 7.980
angles: 90.00 90.00 120.00
Atoms (fractional coordinates):
Rb (0.000, 0.000, 0.000)
Pa (0.000, 0.000, 0.500)
Fe (0.333, 0.667, 0.736)
Fe (0.667, 0.333, 0.264)
O (0.167, 0.333, 0.663)
O (0.167, 0.833, 0.663)
O (0.333, 0.167, 0.337)
O (0.333, 0.667, 0.945)
O (0.667, 0.333, 0.055)
O (0.667, 0.833, 0.663)
O (0.833, 0.167, 0.337)
O (0.833, 0.667, 0.337)

## Properties
Raw total energy (eV per atom): -6.673
Symmetry: P-3m1 (164)
D(E_F) (states/eV/cell): 7.77
Total magnetic moment (μB per formula unit): 6.000